Material: Ac3CeBi4
Method: DFT, PBE
State: relaxed

## Properties
Magnetization: 0.8 μB per cell
E: -5.164 eV per atom

Structure (POSCAR):
```
Ac3CeBi4
1.0
4.8154 -6.8098 0.0000
4.8154 6.8098 0.0000
0.0000 0.0000 4.8191
Ac Ce Bi
3 1 4
direct
0.0000 0.0000 0.0000
0.0000 0.5000 0.5000
0.5000 0.0000 0.5000
0.5000 0.5000 0.0000
0.2559 0.7441 0.0000
0.2610 0.2610 0.5000
0.7390 0.7390 0.5000
0.7441 0.2559 0.0000
```